Entry 1:
# Ac5Ni2Sn

A relaxed Ac5Ni2Sn crystal (PBE, the Alexandria database).

The structure in CIF format:
```
data_Ac5Ni2Sn
_cell_length_a 9.390
_cell_length_b 9.390
_cell_length_c 9.390
_cell_angle_alpha 126.76
_cell_angle_beta 126.76
_cell_angle_gamma 78.64
_symmetry_space_group_name_H-M 'P 1'
_symmetry_Int_Tables_number 1
loop_
_symmetry_equiv_pos_as_xyz
'x,y,z'
loop_
_atom_site_label
_atom_site_type_symbol
_atom_site_fract_x
_atom_site_fract_y
_atom_site_fract_z
Ac1 Ac 0.000 0.000 0.000
Ac2 Ac 0.023 0.523 0.819
Ac3 Ac 0.204 0.023 0.500
Ac4 Ac 0.296 0.796 0.819
Ac5 Ac 0.477 0.296 0.500
Ac6 Ac 0.500 0.500 0.000
Ac7 Ac 0.523 0.704 0.500
Ac8 Ac 0.704 0.204 0.181
Ac9 Ac 0.796 0.977 0.500
Ac10 Ac 0.977 0.477 0.181
Ni1 Ni 0.132 0.368 0.500
Ni2 Ni 0.368 0.868 0.236
Ni3 Ni 0.632 0.132 0.764
Ni4 Ni 0.868 0.632 0.500
Sn1 Sn 0.250 0.250 0.000
Sn2 Sn 0.750 0.750 0.000
```

## Properties
Energy relative to the elements = -314 meV per atom
Crystal system = tetragonal
M_tot = 0.0 μB/cell


Entry 2:
# AcNi2Sn4

A relaxed AcNi2Sn4 crystal (PBE, the Alexandria database).

The structure in CIF format:
```
data_AcNi2Sn4
_cell_length_a 19.610
_cell_length_b 4.483
_cell_length_c 7.276
_cell_angle_alpha 90.00
_cell_angle_beta 90.00
_cell_angle_gamma 90.00
_symmetry_space_group_name_H-M 'P 1'
_symmetry_Int_Tables_number 1
loop_
_symmetry_equiv_pos_as_xyz
'x,y,z'
loop_
_atom_site_label
_atom_site_type_symbol
_atom_site_fract_x
_atom_site_fract_y
_atom_site_fract_z
Ac1 Ac 0.139 0.250 0.020
Ac2 Ac 0.361 0.750 0.520
Ac3 Ac 0.639 0.250 0.480
Ac4 Ac 0.861 0.750 0.980
Ni1 Ni 0.035 0.750 0.747
Ni2 Ni 0.207 0.250 0.493
Ni3 Ni 0.293 0.750 0.993
Ni4 Ni 0.465 0.250 0.247
Ni5 Ni 0.535 0.750 0.753
Ni6 Ni 0.707 0.250 0.007
Ni7 Ni 0.793 0.750 0.507
Ni8 Ni 0.965 0.250 0.253
Sn1 Sn 0.024 0.750 0.146
Sn2 Sn 0.068 0.250 0.506
Sn3 Sn 0.176 0.750 0.695
Sn4 Sn 0.207 0.750 0.293
Sn5 Sn 0.293 0.250 0.793
Sn6 Sn 0.324 0.250 0.195
Sn7 Sn 0.432 0.750 0.006
Sn8 Sn 0.476 0.250 0.646
Sn9 Sn 0.524 0.750 0.354
Sn10 Sn 0.568 0.250 0.994
Sn11 Sn 0.676 0.750 0.805
Sn12 Sn 0.707 0.750 0.207
Sn13 Sn 0.793 0.250 0.707
Sn14 Sn 0.824 0.250 0.305
Sn15 Sn 0.932 0.750 0.494
Sn16 Sn 0.976 0.250 0.854
```

## Properties
Energy relative to the elements = -348 meV per atom
Crystal system = orthorhombic
M_tot = 0.0 μB/cell


Entry 3:
# Ac8NiSn5

A relaxed Ac8NiSn5 crystal (PBE, the Alexandria database).

The structure in CIF format:
```
data_Ac8NiSn5
_cell_length_a 8.740
_cell_length_b 8.740
_cell_length_c 8.740
_cell_angle_alpha 110.43
_cell_angle_beta 110.43
_cell_angle_gamma 107.56
_symmetry_space_group_name_H-M 'P 1'
_symmetry_Int_Tables_number 1
loop_
_symmetry_equiv_pos_as_xyz
'x,y,z'
loop_
_atom_site_label
_atom_site_type_symbol
_atom_site_fract_x
_atom_site_fract_y
_atom_site_fract_z
Ac1 Ac 0.014 0.654 0.770
Ac2 Ac 0.240 0.492 0.108
Ac3 Ac 0.346 0.116 0.360
Ac4 Ac 0.384 0.132 0.892
Ac5 Ac 0.508 0.616 0.747
Ac6 Ac 0.756 0.986 0.640
Ac7 Ac 0.868 0.760 0.253
Ac8 Ac 0.884 0.244 0.230
Ni1 Ni 0.000 0.000 0.000
Sn1 Sn 0.120 0.253 0.628
Sn2 Sn 0.250 0.750 0.500
Sn3 Sn 0.507 0.880 0.133
Sn4 Sn 0.626 0.493 0.372
Sn5 Sn 0.747 0.374 0.867
```

## Properties
Energy relative to the elements = -553 meV per atom
Crystal system = tetragonal
M_tot = 0.0 μB/cell


Entry 4:
# AcTbNiSn

A relaxed AcTbNiSn crystal (PBE, the Alexandria database).

The structure in CIF format:
```
data_AcTbNiSn
_cell_length_a 5.366
_cell_length_b 5.366
_cell_length_c 5.366
_cell_angle_alpha 60.00
_cell_angle_beta 60.00
_cell_angle_gamma 60.00
_symmetry_space_group_name_H-M 'P 1'
_symmetry_Int_Tables_number 1
loop_
_symmetry_equiv_pos_as_xyz
'x,y,z'
loop_
_atom_site_label
_atom_site_type_symbol
_atom_site_fract_x
_atom_site_fract_y
_atom_site_fract_z
Ac1 Ac 0.000 0.000 0.000
Tb1 Tb 0.500 0.500 0.500
Ni1 Ni 0.250 0.250 0.250
Sn1 Sn 0.750 0.750 0.750
```

## Properties
Energy relative to the elements = -308 meV per atom
Crystal system = cubic
M_tot = 0.0 μB/cell